This record from the Alexandria database describes CaInNi2 after structural relaxation. The functional is GGA-PBE.

Cell: 4.649 4.649 4.649 Å, 60.00 60.00 60.00°
Fractional positions:
Ca 0.000 0.000 0.000
In 0.250 0.250 0.250
Ni 0.500 0.500 0.500
Ni 0.750 0.750 0.750

Results
SG: No. 216
Calculated density in Mg/m³: 6.365
Calculated volume in Å³/atom: 17.76
Final energy in eV/atom: -3.95